Below is a relaxed structure of KHfPb3, with properties calculated at the PBE level.

```
5
Lattice="5.695 0.000 0.000 0.000 5.695 0.000 0.000 0.000 5.695" Properties=species:S:1:pos:R:3 pbc="T T T"
Pb 0.000 2.848 0.000
Pb 0.000 0.000 2.848
Pb 2.848 0.000 0.000
K 0.000 0.000 0.000
Hf 2.848 2.848 2.848
```

Computed properties:
ΔE_f: 686 kJ/mol of formula units
energy above the most stable polymorph in this dataset: 1.366 eV per atom

Below is a relaxed structure of Na7Tl4Hg, with properties calculated at the PBE level.

```
12
Lattice="-2.988 4.681 1.596 0.408 0.659 9.290 4.997 5.764 2.913" Properties=species:S:1:pos:R:3 pbc="T T T"
Na 0.488 7.336 10.776
Na 1.928 3.767 3.023
Na 1.329 2.269 6.293
Na 1.087 8.834 7.506
Na 3.622 6.132 9.717
Na -1.494 2.340 0.798
Na -1.206 4.971 4.081
Tl 1.376 6.162 5.424
Tl 1.041 4.941 8.375
Tl -1.638 3.724 6.930
Tl 4.054 7.379 6.869
Hg 0.000 0.000 0.000
```

Computed properties:
ΔE_f: -92 kJ/mol of formula units
energy above the most stable polymorph in this dataset: 0.037 eV per atom

Below is a relaxed structure of BePt2Se, with properties calculated at the PBE level.

```
4
Lattice="3.907 0.000 0.000 -1.910 4.628 0.000 0.087 1.639 3.533" Properties=species:S:1:pos:R:3 pbc="T T T"
Be 0.998 2.314 0.000
Se -0.911 3.133 1.767
Pt 0.000 0.000 0.000
Pt 1.997 0.819 1.767
```

Computed properties:
energy above the most stable polymorph in this dataset: 0.230 eV per atom
ΔE_f (raw): -10 meV/atom

Below is a relaxed structure of ZrTiTc, with properties calculated at the PBE level.

```
6
Lattice="-3.766 2.220 -2.792 -4.978 -1.836 0.436 -3.527 3.151 2.445" Properties=species:S:1:pos:R:3 pbc="T T T"
Zr -6.470 2.439 -1.380
Zr -5.801 1.096 1.469
Ti -4.372 0.192 -1.178
Ti -3.646 2.685 -0.173
Tc 0.000 0.000 0.000
Tc -1.883 1.110 -1.396
```

Computed properties:
ΔE_f: -100 kJ/mol of formula units
energy above the most stable polymorph in this dataset: 0.000 eV per atom

Below is a relaxed structure of TeAu2Cl6, with properties calculated at the PBE level.

```
18
Lattice="6.752 -0.286 -0.658 -0.924 9.970 -0.112 -0.354 0.141 10.006" Properties=species:S:1:pos:R:3 pbc="T T T"
Te 0.810 9.101 0.545
Te 4.663 0.725 8.691
Au 0.836 3.876 3.710
Au 1.261 6.101 5.847
Au 4.638 5.950 5.526
Au 4.212 3.725 3.390
Cl 2.573 2.634 4.622
Cl -0.348 5.132 7.212
Cl 2.900 7.192 4.615
Cl 5.821 4.694 2.025
Cl 5.458 0.778 6.470
Cl 3.740 2.896 8.624
Cl 0.016 9.048 2.767
Cl 1.733 6.930 0.612
Cl 0.474 1.776 0.303
Cl 1.542 9.586 7.830
Cl 4.999 8.050 8.934
Cl 3.931 0.240 1.407
```

Computed properties:
energy above the most stable polymorph in this dataset: 0.000 eV per atom
ΔE_f (raw): -414 meV/atom

Below is a relaxed structure of LaCoMo2, with properties calculated at the PBE level.

```
4
Lattice="4.647 -0.018 0.000 0.018 4.647 0.000 -2.333 -2.314 3.286" Properties=species:S:1:pos:R:3 pbc="T T T"
Co 2.333 2.314 0.000
La 2.324 -0.009 1.643
Mo 0.000 0.000 0.000
Mo 0.009 2.324 1.643
```

Computed properties:
ΔE_f: 186 kJ/mol of formula units
energy above the most stable polymorph in this dataset: 0.164 eV per atom

Below is a relaxed structure of Nd6ErTl2, with properties calculated at the PBE level.

```
18
Lattice="-2.915 -5.036 -1.528 7.976 -6.056 -0.253 0.617 -4.571 8.893" Properties=species:S:1:pos:R:3 pbc="T T T"
Nd 4.275 -8.451 3.076
Nd 4.529 -5.031 2.725
Nd 1.403 -7.212 4.035
Nd 1.149 -10.632 4.386
Nd -0.818 -5.692 2.165
Nd 3.213 -12.121 6.451
Nd 6.496 -9.972 4.946
Nd 2.465 -3.542 0.660
Nd 5.917 -10.773 8.218
Nd -0.423 -2.041 1.699
Nd -0.239 -4.891 -1.106
Nd 6.102 -13.622 5.413
Er 0.947 -6.044 7.196
Er 4.731 -9.619 -0.084
Tl 3.454 -8.787 6.306
Tl 1.662 -3.951 4.079
Tl 2.224 -6.876 0.806
Tl 4.016 -11.712 3.032
```

Computed properties:
ΔE_f: -101 kJ/mol of formula units
energy above the most stable polymorph in this dataset: 0.035 eV per atom

Below is a relaxed structure of Ti2SbF, with properties calculated at the PBE level.

```
8
Lattice="-2.109 1.183 4.116 0.211 -4.553 1.417 5.138 -0.535 5.554" Properties=species:S:1:pos:R:3 pbc="T T T"
Sb 0.000 0.000 0.000
Sb 1.041 -0.519 6.218
F -0.949 -1.685 2.766
F 2.200 -3.387 4.869
Ti 0.520 -0.260 3.109
Ti 0.626 -2.536 3.818
Ti 3.195 -2.804 6.595
Ti 2.141 -2.212 8.652
```

Computed properties:
energy above the most stable polymorph in this dataset: 0.012 eV per atom
ΔE_f (raw): -748 meV/atom

Below is a relaxed structure of Tl2V2CuTe6, with properties calculated at the PBE level.

```
11
Lattice="6.939 -0.188 -0.033 -3.593 5.939 -0.033 -1.306 -2.244 8.025" Properties=species:S:1:pos:R:3 pbc="T T T"
Tl 5.334 0.745 -0.033
Tl -1.989 5.006 -0.033
V -0.966 2.908 3.980
V 3.006 0.598 3.980
Cu -0.653 -1.122 4.013
Te 1.571 2.701 5.272
Te -1.826 0.907 5.641
Te 0.468 0.805 2.687
Te 1.691 -1.139 5.641
Te 3.866 2.600 2.318
Te 0.349 4.645 2.318
```

Computed properties:
ΔE_f (raw): -193 meV/atom

Below is a relaxed structure of ErSc2Br, with properties calculated at the PBE level.

```
4
Lattice="-0.514 -1.229 3.217 2.677 -0.264 2.211 -0.985 8.399 4.936" Properties=species:S:1:pos:R:3 pbc="T T T"
Sc 0.843 5.393 7.849
Sc 0.335 1.513 2.516
Br 0.000 0.000 0.000
Er 0.589 3.453 5.182
```

Computed properties:
ΔE_f (raw): -435 meV/atom

Below is a relaxed structure of CdCoRh4, with properties calculated at the PBE level.

```
6
Lattice="0.000 3.629 3.629 3.629 0.000 3.629 3.629 3.629 0.000" Properties=species:S:1:pos:R:3 pbc="T T T"
Cd 5.443 5.443 5.443
Co 0.000 0.000 0.000
Rh 2.720 4.538 4.538
Rh 4.538 4.538 2.720
Rh 4.538 2.720 4.538
Rh 2.720 2.720 2.720
```

Computed properties:
ΔE_f: 195 kJ/mol of formula units

Below is a relaxed structure of KBeSi2, with properties calculated at the PBE level.

```
4
Lattice="-0.816 3.173 2.486 2.187 -1.781 2.990 3.609 2.044 -1.423" Properties=species:S:1:pos:R:3 pbc="T T T"
Be 1.396 2.608 0.532
K 2.898 0.132 0.784
Si 0.000 0.000 0.000
Si 0.686 0.696 2.738
```

Computed properties:
ΔE_f (raw): 982 meV/atom